Here is an optimized crystal structure of ReSbAs2 from Alexandria. Energies are from PBE.

Properties
**Calculated density**: 10.29 g/cm³
**Spin magnetization**: 0.00 μB/cell
**Energy relative to the elements, uncorrected**: 75 kJ/mol of atoms

Cell lengths 5.870, 7.658, 3.287 Å; angles 90.00, 90.00, 90.00 degrees
Space group Cmmm (No. 65)
One atom of each set of equivalent atoms:
Re  0.000  0.000  0.000 [2 per cell]
Sb  0.000  0.500  0.000 [2 per cell]
As  0.250  0.250  0.500 [4 per cell]

***

Here is an optimized crystal structure of MnRh2Cl from Alexandria. Energies are from PBE.

Properties
**Calculated density**: 8.23 g/cm³
**Spin magnetization**: 7.14 μB/cell
**Energy relative to the elements, uncorrected**: 46 kJ/mol of atoms

Cell lengths 4.011, 4.011, 7.427 Å; angles 90.00, 90.00, 90.00 degrees
Space group I4/mmm (No. 139)
One atom of each set of equivalent atoms:
Mn  0.000  0.000  0.000 [2 per cell]
Rh  0.000  0.500  0.250 [4 per cell]
Cl  0.000  0.000  0.500 [2 per cell]

***

Here is an optimized crystal structure of Sc2BPPb from Alexandria. Energies are from PBE.

Properties
**E**: -25.46 eV for the cell shown
**Calculated density**: 4.54 g/cm³
**Spin magnetization**: 0.00 μB/cell

Cell lengths 4.862, 4.862, 5.239 Å; angles 90.00, 90.00, 90.00 degrees
Space group P4/mmm (No. 123)
One atom of each set of equivalent atoms:
Sc  0.000  0.500  0.000 [2 per cell]
B  0.000  0.000  0.500 [1 per cell]
P  0.500  0.500  0.000 [1 per cell]
Pb  0.500  0.500  0.500 [1 per cell]

***

Here is an optimized crystal structure of Dy4CoPt from Alexandria. Energies are from PBE.

Properties
**E**: -136.99 eV for the cell shown
**Calculated density**: 8.78 g/cm³
**Spin magnetization**: 0.00 μB/cell

Cell lengths 9.172, 9.172, 8.132 Å; angles 90.00, 90.00, 90.00 degrees
Space group I4_1md (No. 109)
One atom of each set of equivalent atoms:
Dy  0.000  0.297  0.000 [8 per cell]
Dy  0.000  0.305  0.474 [8 per cell]
Co  0.000  0.000  0.986 [4 per cell]
Pt  0.000  0.000  0.490 [4 per cell]

***

Here is an optimized crystal structure of CsPm2Au2O6 from Alexandria. Energies are from PBE.

Properties
**Calculated density**: 6.48 g/cm³
**Spin magnetization**: 0.79 μB/cell
**Energy relative to the elements, uncorrected**: -154 kJ/mol of atoms

Cell lengths 6.607, 6.795, 6.855 Å; angles 94.86, 115.22, 116.62 degrees
Space group P-1 (No. 2)
One atom of each set of equivalent atoms:
Cs  0.000  0.000  0.000 [1 per cell]
Pm  0.368  0.686  0.037 [2 per cell]
Au  0.092  0.759  0.473 [2 per cell]
O  0.092  0.599  0.194 [2 per cell]
O  0.278  0.348  0.792 [2 per cell]
O  0.411  0.895  0.785 [2 per cell]

***

Here is an optimized crystal structure of AlSn2Pd from Alexandria. Energies are from PBE.

Properties
**E**: -51.57 eV for the cell shown
**Calculated density**: 7.05 g/cm³
**Spin magnetization**: 0.00 μB/cell

Cell lengths 3.1611, 3.1611, 30.2927 Å; angles 90.00, 90.00, 120.00 degrees
Space group R-3m (No. 166, hexagonal axes)
One atom of each set of equivalent atoms:
Al  0.0000  0.0000  0.0000 [3 per cell]
Sn  0.0000  0.0000  0.0952 [6 per cell]
Pd  0.0000  0.0000  0.5000 [3 per cell]